No. 1
The following is a PBE calculation of a relaxed ZrP2Pt2 crystal, from Alexandria.

Cell lengths 7.186, 7.186, 3.297 Å; angles 90.00, 90.00, 90.00 degrees
Fractional coordinates of all 10 atoms:
Zr  0.000  0.000  0.000
Zr  0.500  0.500  0.000
P  0.201  0.299  0.500
P  0.299  0.799  0.500
P  0.701  0.201  0.500
P  0.799  0.701  0.500
Pt  0.128  0.628  0.000
Pt  0.372  0.128  0.000
Pt  0.628  0.872  0.000
Pt  0.872  0.372  0.000

Properties
**Energy of formation**: -361 meV per atom
**Total energy**: -33.3 eV per formula unit
**SG**: P4/mbm

No. 2
The following is a PBE calculation of a relaxed Ce3Zn4Ni4 crystal, from Alexandria.

Cell lengths 7.955, 7.955, 7.955 Å; angles 151.99, 124.64, 63.18 degrees
Fractional coordinates of all 11 atoms:
Ce  0.000  0.000  0.000
Ce  0.376  0.876  0.500
Ce  0.624  0.124  0.500
Zn  0.017  0.326  0.691
Zn  0.365  0.674  0.691
Zn  0.635  0.326  0.309
Zn  0.983  0.674  0.309
Ni  0.227  0.227  0.000
Ni  0.314  0.500  0.814
Ni  0.686  0.500  0.186
Ni  0.773  0.773  0.000

Properties
**Energy of formation**: -367 meV per atom
**Total energy**: -50.1 eV per formula unit
**SG**: Immm

No. 3
The following is a PBE calculation of a relaxed NaAlSi3O8 crystal, from Alexandria.

Cell lengths 6.997, 7.346, 7.615 Å; angles 113.08, 92.48, 107.69 degrees
Fractional coordinates of all 26 atoms:
Na  0.022  0.237  0.464
Na  0.978  0.763  0.536
Al  0.288  0.916  0.877
Al  0.712  0.084  0.123
Si  0.077  0.251  0.920
Si  0.310  0.724  0.167
Si  0.426  0.630  0.503
Si  0.574  0.370  0.497
Si  0.690  0.276  0.833
Si  0.923  0.749  0.080
O  0.041  0.771  0.909
O  0.106  0.773  0.250
O  0.185  0.083  0.812
O  0.248  0.489  0.992
O  0.280  0.709  0.646
O  0.348  0.361  0.401
O  0.429  0.900  0.089
O  0.455  0.736  0.350
O  0.545  0.264  0.650
O  0.571  0.100  0.911
O  0.652  0.639  0.599
O  0.720  0.291  0.354
O  0.752  0.511  0.008
O  0.815  0.917  0.188
O  0.894  0.227  0.750
O  0.959  0.229  0.091

Properties
**Total energy**: -96.0 eV per formula unit
**Uncorrected formation energy**: -35.025 eV/f.u.
**SG**: P-1
**Energy above the most stable polymorph in this dataset**: 0.090 eV per atom

No. 4
The following is a PBE calculation of a relaxed KRb3Th2Se6 crystal, from Alexandria.

Cell lengths 10.499, 10.499, 9.676 Å; angles 106.11, 106.11, 24.45 degrees
Fractional coordinates of all 12 atoms:
K  0.000  0.000  0.000
Rb  0.000  0.000  0.500
Rb  0.345  0.345  0.166
Rb  0.655  0.655  0.834
Th  0.335  0.335  0.670
Th  0.665  0.665  0.330
Se  0.174  0.174  0.136
Se  0.180  0.180  0.549
Se  0.475  0.475  0.741
Se  0.525  0.525  0.259
Se  0.820  0.820  0.451
Se  0.826  0.826  0.864

Properties
**Total energy**: -58.5 eV per formula unit
**Uncorrected formation energy**: -18.709 eV/f.u.
**SG**: C2/m

No. 5
The following is a PBE calculation of a relaxed Sm6TlSe5 crystal, from Alexandria.

Cell lengths 7.321, 7.321, 7.325 Å; angles 99.54, 99.54, 119.82 degrees
Fractional coordinates of all 12 atoms:
Sm  0.076  0.416  0.746
Sm  0.243  0.243  0.251
Sm  0.416  0.076  0.746
Sm  0.584  0.924  0.254
Sm  0.757  0.757  0.749
Sm  0.924  0.584  0.254
Tl  0.500  0.500  0.000
Se  0.000  0.000  0.500
Se  0.167  0.833  0.000
Se  0.336  0.664  0.500
Se  0.664  0.336  0.500
Se  0.833  0.167  0.000

Properties
**Total energy**: -67.0 eV per formula unit
**Uncorrected formation energy**: -18.871 eV/f.u.
**SG**: C2/m

No. 6
The following is a PBE calculation of a relaxed Pm2NdRe crystal, from Alexandria.

Cell lengths 11.836, 11.836, 11.836 Å; angles 16.07, 16.07, 16.07 degrees
Fractional coordinates of all 4 atoms:
Pm  0.076  0.076  0.076
Pm  0.924  0.924  0.924
Nd  0.500  0.500  0.500
Re  0.000  0.000  0.000

Properties
**Energy of formation**: 881 meV per atom
**Total energy**: -23.2 eV per formula unit
**SG**: R-3m

No. 7
The following is a PBE calculation of a relaxed TbSc2NbO8 crystal, from Alexandria.

Cell lengths 4.897, 4.897, 6.672 Å; angles 90.00, 90.00, 90.19 degrees
Fractional coordinates of all 12 atoms:
Tb  0.000  0.000  0.000
Sc  0.500  0.500  0.254
Sc  0.500  0.500  0.746
Nb  0.000  0.000  0.500
O  0.196  0.196  0.279
O  0.196  0.196  0.721
O  0.294  0.706  0.500
O  0.321  0.679  0.000
O  0.679  0.321  0.000
O  0.706  0.294  0.500
O  0.804  0.804  0.279
O  0.804  0.804  0.721

Properties
**Total energy**: -100.4 eV per formula unit
**Uncorrected formation energy**: -33.363 eV/f.u.
**SG**: Cmmm

No. 8
The following is a PBE calculation of a relaxed ErZnCdHg crystal, from Alexandria.

Cell lengths 4.946, 4.946, 4.946 Å; angles 60.00, 60.00, 60.00 degrees
Fractional coordinates of all 4 atoms:
Er  0.000  0.000  0.000
Zn  0.250  0.250  0.250
Cd  0.500  0.500  0.500
Hg  0.750  0.750  0.750

Properties
**Energy of formation**: -288 meV per atom
**Total energy**: -8.2 eV per formula unit
**SG**: F-43m

No. 9
The following is a PBE calculation of a relaxed Nd8Tm2In crystal, from Alexandria.

Cell lengths 9.510, 9.510, 8.111 Å; angles 105.24, 105.24, 30.81 degrees
Fractional coordinates of all 11 atoms:
Nd  0.045  0.045  0.228
Nd  0.137  0.137  0.680
Nd  0.321  0.321  0.591
Nd  0.409  0.409  0.057
Nd  0.591  0.591  0.943
Nd  0.679  0.679  0.409
Nd  0.863  0.863  0.320
Nd  0.955  0.955  0.772
Tm  0.225  0.225  0.133
Tm  0.775  0.775  0.867
In  0.500  0.500  0.500

Properties
**Energy of formation**: -68 meV per atom
**Total energy**: -50.6 eV per formula unit
**SG**: C2/m

No. 10
The following is a PBE calculation of a relaxed ScBeTc crystal, from Alexandria.

Cell lengths 5.047, 5.047, 5.047 Å; angles 121.30, 120.34, 88.59 degrees
Fractional coordinates of all 6 atoms:
Sc  0.378  0.128  0.250
Sc  0.622  0.872  0.750
Be  0.000  0.000  0.500
Be  0.000  0.500  0.000
Tc  0.000  0.500  0.500
Tc  0.500  0.500  0.000

Properties
**Energy of formation**: -285 meV per atom
**Total energy**: -21.3 eV per formula unit
**SG**: Imma
**Energy above the most stable polymorph in this dataset**: 0.000 eV per atom

No. 11
The following is a PBE calculation of a relaxed ZrFe2Re crystal, from Alexandria.

Cell lengths 5.002, 5.002, 2.718 Å; angles 99.11, 99.11, 114.44 degrees
Fractional coordinates of all 4 atoms:
Zr  0.000  0.000  0.000
Fe  0.000  0.500  0.500
Fe  0.500  0.000  0.500
Re  0.500  0.500  0.000

Properties
**Energy of formation**: 121 meV per atom
**Total energy**: -37.4 eV per formula unit
**SG**: C2/m